# ReTc2Os, optimized geometry, DFT GGA-PBE
data_ReTc2Os
_cell_length_a 4.7635
_cell_length_b 4.7635
_cell_length_c 4.7635
_cell_angle_alpha 131.98
_cell_angle_beta 131.98
_cell_angle_gamma 70.26
_symmetry_space_group_name_H-M 'P 1'
_symmetry_Int_Tables_number 1
loop_
_symmetry_equiv_pos_as_xyz
'x,y,z'
loop_
_atom_site_label
_atom_site_fract_x
_atom_site_fract_y
_atom_site_fract_z
_atom_site_occupancy
Re1 0.7500 0.2500 0.5000 1
Os1 0.2500 0.7500 0.5000 1
Tc1 0.5000 0.5000 0.0000 1
Tc2 0.0000 0.0000 0.0000 1
# calculated formation energy = 0.05 eV/atom
# N(E_F) = 4.612 states/eV per cell
# relative energy among the computed polymorphs = 2.43 kcal/mol of atoms